No. 1
This record from the Alexandria database describes NaTc2Os after structural relaxation. The functional is PBE.

a = 4.386 Å, b = 4.386 Å, c = 4.386 Å
α = 60.00°, β = 60.00°, γ = 60.00°
Element x y z (fractional)
Na: 0.000 0.000 0.000
Tc: 0.250 0.250 0.250
Tc: 0.750 0.750 0.750
Os: 0.500 0.500 0.500

Calculated values
E above lowest polymorph = 0 meV per atom


No. 2
This record from the Alexandria database describes AlZnAu2 after structural relaxation. The functional is PBE.

a = 3.530 Å, b = 3.530 Å, c = 5.419 Å
α = 90.00°, β = 90.00°, γ = 90.00°
Element x y z (fractional)
Al: 0.000 0.000 0.000
Zn: 0.500 0.500 0.704
Au: 0.000 0.000 0.515
Au: 0.500 0.500 0.189


Number 1: formation enthalpy at 0 K 0.75 eV per atom. Number 2: formation enthalpy at 0 K -0.31 eV per atom.